Compound: Sr2HoFe2O6
Source: Alexandria via LeMat-Bulk
Functional: PBE+U
Structure: optimized geometry

Lattice parameters (Å, degrees): 6.058 6.058 6.715 63.19 63.19 60.00
Atoms (fractional coordinates):
Ho 0.000 0.000 0.000
O 0.774 0.246 0.734
O 0.754 0.754 0.266
O 0.246 0.246 0.734
O 0.226 0.754 0.266
O 0.246 0.774 0.734
O 0.754 0.226 0.266
Fe 0.574 0.574 0.278
Fe 0.426 0.426 0.722
Sr 0.800 0.800 0.600
Sr 0.200 0.200 0.400

Output
Calculated total energy: -74.0 eV/cell
Mass density: 4.99 g/cm³
Volume: 182.2 Å³/cell
Total magnetization: 9.00 μB per cell